Nd6HAu3 | PBE | optimized geometry

N(E_F), states/eV/cell: 23.29
ρ, g cm⁻³: 8.83

a = 6.6194 Å, b = 7.8904 Å, c = 12.2300 Å
α = 90.00°, β = 120.91°, γ = 90.00°
Closest atoms and distances in Å follow each position.
Space group P2_1/c (No. 14)
One atom of each set of equivalent atoms:
Nd 0.0758 0.2091 0.4322 x4  1 H 2.58
Nd 0.2801 0.6522 0.4439 x4  1 H 2.58
Nd 0.4043 0.0535 0.2384 x4  1 H 2.80, 3 Au 2.96-3.10
H 0.0000 0.0000 0.0000 x2  6 Nd 2.58-2.80
Au 0.1466 0.1124 0.7254 x4  6 Nd 3.07-3.14
Au 0.5000 0.0000 0.5000 x2  6 Nd 2.96-3.02


Nd12H5Au3 | PBE | optimized geometry

N(E_F), states/eV/cell: 152.33
ρ, g cm⁻³: 7.73

a = 15.8700 Å, b = 15.8700 Å, c = 15.8700 Å
α = 90.00°, β = 90.00°, γ = 90.00°
Closest atoms and distances in Å follow each position.
Space group Ia-3d (No. 230)
One atom of each set of equivalent atoms:
Nd 0.0392 0.0587 0.6521 x96  1 H 2.27
H 0.0000 0.0000 0.0000 x16  6 Nd 2.66
H 0.0000 0.2500 0.3750 x24  4 Nd 2.27
Au 0.0000 0.2500 0.1250 x24  8 Nd 3.13-3.17


Nd4HAu2 | PBE | optimized geometry

N(E_F), states/eV/cell: 17.58
ρ, g cm⁻³: 8.99

a = 4.8026 Å, b = 4.8026 Å, c = 15.5659 Å
α = 90.00°, β = 90.00°, γ = 90.00°
Closest atoms and distances in Å follow each position.
Space group I4/mmm (No. 139)
One atom of each set of equivalent atoms:
Nd 0.0000 0.0000 0.1855 x4  1 Au 2.86, 1 H 2.89
Nd 0.0000 0.5000 0.0000 x4  2 H 2.40
H 0.0000 0.0000 0.0000 x2  4 Nd 2.40
Au 0.0000 0.0000 0.3694 x4  5 Nd 2.86-3.15


Nd3HAu | PBE | optimized geometry

N(E_F), states/eV/cell: 8.50
ρ, g cm⁻³: 8.35

a = 7.3176 Å, b = 3.8827 Å, c = 8.9322 Å
α = 90.00°, β = 98.72°, γ = 90.00°
Closest atoms and distances in Å follow each position.
Space group P2_1/m (No. 11)
One atom of each set of equivalent atoms:
Nd 0.0794 0.2500 0.3481 x2  3 H 2.61-2.67
Nd 0.2402 0.2500 0.9443 x2  1 H 2.61
Nd 0.3862 0.7500 0.6291 x2  2 H 2.58
H 0.1596 0.2500 0.6499 x2  6 Nd 2.58-2.67
Au 0.3279 0.7500 0.2051 x2  6 Nd 3.03-3.07


Nd2HPd6Au | PBE | optimized geometry

N(E_F), states/eV/cell: 6.43
ρ, g cm⁻³: 10.37

a = 9.6346 Å, b = 5.8209 Å, c = 7.1645 Å
α = 90.00°, β = 116.29°, γ = 90.00°
Closest atoms and distances in Å follow each position.
Space group C2/m (No. 12)
One atom of each set of equivalent atoms:
Nd 0.2465 0.0000 0.1799 x4  9 Pd 2.97-3.31, 1 Au 3.23
H 0.0000 0.0000 0.5000 x2  6 Pd 1.90-2.07
Pd 0.0657 0.2573 0.3566 x8  1 H 2.07
Pd 0.2042 0.0000 0.7187 x4  1 H 1.90
Au 0.0000 0.5000 0.0000 x2  6 Pd 2.66-2.74


NdH6Pd4Au | PBE | optimized geometry

N(E_F), states/eV/cell: 4.77
ρ, g cm⁻³: 9.58

a = 4.7930 Å, b = 4.7930 Å, c = 6.7333 Å
α = 90.00°, β = 90.00°, γ = 120.00°
Closest atoms and distances in Å follow each position.
Space group P6/mmm (No. 191)
One atom of each set of equivalent atoms:
Nd 0.0000 0.0000 0.0000 x1  12 H 2.59
H 0.0000 0.5000 0.1451 x6  2 Pd 1.73
Pd 0.3333 0.6667 0.2997 x4  3 H 1.73
Au 0.0000 0.0000 0.5000 x1  12 Pd 3.08, 2 Nd 3.37, 12 H 3.38


NdH7Rh2Au | PBE | optimized geometry

N(E_F), states/eV/cell: 6.08
ρ, g cm⁻³: 8.39

a = 3.7377 Å, b = 3.7377 Å, c = 15.6901 Å
α = 90.00°, β = 90.00°, γ = 90.00°
Closest atoms and distances in Å follow each position.
Space group I-4m2 (No. 119)
One atom of each set of equivalent atoms:
Nd 0.0000 0.0000 0.0000 x2  12 H 2.54-2.64
H 0.0000 0.0000 0.2753 x4  1 Rh 1.79, 2 Au 1.91
H 0.0000 0.0000 0.5000 x2  2 Rh 1.73
H 0.0000 0.5000 0.1102 x4  2 Rh 1.87
H 0.0000 0.5000 0.6099 x4  2 Rh 1.87
Rh 0.0000 0.0000 0.3896 x4  6 H 1.73-1.87
Au 0.0000 0.5000 0.2500 x2  4 H 1.91


NiH2Au | PBE | optimized geometry

N(E_F), states/eV/cell: 2.96
Polymorph energy (0 for the lowest one), meV/atom: 23
ρ, g cm⁻³: 10.18

a = 4.6609 Å, b = 2.6903 Å, c = 6.7079 Å
α = 90.00°, β = 91.16°, γ = 90.00°
Closest atoms and distances in Å follow each position.
Space group C2/m (No. 12)
One atom of each set of equivalent atoms:
Ni 0.0000 0.0000 0.0000 x2  6 H 1.71
H 0.1699 0.5000 0.1078 x4  3 Ni 1.71
Au 0.0000 0.0000 0.5000 x2  6 Au 2.69


NiHAu2 | PBE | optimized geometry

N(E_F), states/eV/cell: 12.36
Polymorph energy (0 for the lowest one), meV/atom: 297
ρ, g cm⁻³: 14.43

a = 6.2318 Å, b = 6.2318 Å, c = 5.3756 Å
α = 90.00°, β = 90.00°, γ = 90.00°
Closest atoms and distances in Å follow each position.
Space group I-42d (No. 122)
One atom of each set of equivalent atoms:
Ni 0.0000 0.0000 0.0000 x4  2 H 2.69, 8 Au 2.69-2.75
H 0.0000 0.0000 0.5000 x4  4 Au 1.98
Au 0.1645 0.2500 0.6250 x8  2 H 1.98


NiHAu2 | PBE | optimized geometry

N(E_F), states/eV/cell: 5.00
Polymorph energy (0 for the lowest one), meV/atom: 6
ρ, g cm⁻³: 14.94

a = 2.8862 Å, b = 2.8862 Å, c = 20.9743 Å
α = 90.00°, β = 90.00°, γ = 120.00°
Closest atoms and distances in Å follow each position.
Space group R3m (No. 160, hexagonal axes)
One atom of each set of equivalent atoms:
Ni 0.0000 0.0000 0.0000 x3  3 H 1.68
H 0.0000 0.0000 0.3246 x3  3 Ni 1.68
Au 0.0000 0.0000 0.2233 x3  1 H 2.13
Au 0.0000 0.0000 0.7717 x3  3 Ni 2.76, 9 Au 2.89-2.99, 3 H 2.91


NiHAu2 | PBE | optimized geometry

N(E_F), states/eV/cell: 4.01
Polymorph energy (0 for the lowest one), meV/atom: 48
ρ, g cm⁻³: 13.31

a = 2.8133 Å, b = 6.8496 Å, c = 5.8734 Å
α = 90.00°, β = 90.00°, γ = 90.00°
Closest atoms and distances in Å follow each position.
Space group Amm2 (No. 38)
One atom of each set of equivalent atoms:
Ni 0.0000 0.0000 0.0000 x2  2 H 1.70
H 0.5000 0.0000 0.1633 x2  2 Ni 1.70
Au 0.5000 0.2098 0.7009 x4  1 H 2.00


NiHAu2 | PBE | optimized geometry

N(E_F), states/eV/cell: 2.56
Polymorph energy (0 for the lowest one), meV/atom: 164
ρ, g cm⁻³: 13.91

a = 2.8149 Å, b = 2.9288 Å, c = 6.6178 Å
α = 90.00°, β = 96.96°, γ = 90.00°
Closest atoms and distances in Å follow each position.
Space group Pm (No. 6)
One atom of each set of equivalent atoms:
Ni 0.0000 0.0000 0.0000 x1  8 Au 2.69-2.71, 4 Ni 2.81-2.93
H 0.1376 0.5000 0.4648 x1  3 Au 1.85-1.90
Au 0.4244 0.5000 0.7318 x1  1 H 1.85
Au 0.5814 0.5000 0.2712 x1  2 H 1.89-1.90


| no. | raw total energy (eV per atom) | magnetic moment (μB per atom) |
| --- | --- | --- |
| 1 | -4.65 | 0.00 |
| 2 | -4.56 | 0.00 |
| 3 | -4.64 | 0.00 |
| 4 | -4.62 | 0.00 |
| 5 | -5.32 | 0.00 |
| 6 | -4.33 | 0.00 |
| 7 | -4.42 | 0.00 |
| 8 | -3.83 | 0.00 |
| 9 | -3.58 | 0.04 |
| 10 | -3.87 | 0.00 |
| 11 | -3.83 | 0.00 |
| 12 | -3.71 | 0.03 |